# UBeIr

A relaxed structure of UBeIr (PBE-GGA, the Open Quantum Materials Database).

a b c (Å): 4.392 4.392 4.392
angles (deg): 60.00 60.00 60.00
Positions (direct):
Be (0.750, 0.750, 0.750)
Ir (0.000, 0.000, 0.000)
U (0.250, 0.250, 0.250)

Excess energy over the best structure of this formula in the dataset: 67.4 meV/atom
Symmetry: F-43m (216)


# NdYAl6

A relaxed structure of NdYAl6 (PBE-GGA, the Open Quantum Materials Database).

a b c (Å): 6.409 6.409 4.596
angles (deg): 90.00 90.00 120.00
Positions (direct):
Al (0.191, 0.381, 0.000)
Al (0.191, 0.809, 0.000)
Al (0.619, 0.809, 0.000)
Al (0.042, 0.521, 0.500)
Al (0.479, 0.521, 0.500)
Al (0.479, 0.958, 0.500)
Nd (0.000, 0.000, 0.500)
Y (0.667, 0.333, 0.000)

Raw total energy: -4.652 eV per atom
Symmetry: P-6m2 (187)


# Ta17Ni12

A relaxed structure of Ta17Ni12 (PBE-GGA, the Open Quantum Materials Database).

a b c (Å): 8.292 8.292 8.292
angles (deg): 109.47 109.47 109.47
Each line ends with the local moment (μB).
Positions (direct):
Ni (0.369, 0.186, 0.000)  0.14
Ni (0.186, 0.369, 0.000)  0.13
Ni (0.814, 0.814, 0.184)  0.17
Ni (0.369, 0.000, 0.186)  0.17
Ni (0.000, 0.369, 0.186)  0.16
Ni (0.186, 0.000, 0.369)  0.13
Ni (0.000, 0.186, 0.369)  0.15
Ni (0.816, 0.631, 0.631)  0.15
Ni (0.631, 0.816, 0.631)  0.15
Ni (0.814, 0.184, 0.814)  0.14
Ni (0.184, 0.814, 0.814)  0.13
Ni (0.631, 0.631, 0.816)  0.18
Ta (0.000, 0.000, 0.000)  0.26
Ta (0.666, 0.000, 0.000)  0.26
Ta (0.685, 0.397, 0.000)  0.05
Ta (0.000, 0.666, 0.000)  0.27
Ta (0.397, 0.685, 0.000)  0.06
Ta (0.603, 0.603, 0.288)  0.08
Ta (0.712, 0.315, 0.315)  0.06
Ta (0.315, 0.712, 0.315)  0.05
Ta (0.334, 0.334, 0.334)  0.27
Ta (0.685, 0.000, 0.397)  0.06
Ta (0.000, 0.685, 0.397)  0.05
Ta (0.603, 0.288, 0.603)  0.06
Ta (0.288, 0.603, 0.603)  0.06
Ta (0.000, 0.000, 0.666)  0.25
Ta (0.397, 0.000, 0.685)  0.06
Ta (0.000, 0.397, 0.685)  0.07
Ta (0.315, 0.315, 0.712)  0.06

Excess energy over the best structure of this formula in the dataset: 26.7 meV/atom
Energy of formation from the pure elements: -25 meV/atom
Symmetry: I-43m (217)